Record 1
Density functional theory data (GGA-PBE) for an optimized crystal structure of AlAu2Cl.

Cell: 6.2014 6.2014 6.2014 Å, 152.20 135.27 53.48°
Last column: nearest neighbours and their distance in Å.
Fractional positions:
Al 0.2500 0.7500 0.5000  4 Au 2.63, 4 Cl 2.79
Cl 0.7500 0.2500 0.5000  4 Al 2.79, 2 Cl 2.98
Au 0.0545 0.0545 0.0000  2 Al 2.63
Au 0.4455 0.4455 0.0000  2 Al 2.63

Calculated values
Spin magnetization: 0.0 μB/f.u.
N(E_F): 0.243 states/eV/atom
Energy above the lowest structure with this stoichiometry: 0.857 eV/f.u.
VASP energy: -12.90 eV/cell
Formation energy (no corrections): -18.2 kJ/mol of atoms


Record 2
Density functional theory data (GGA-PBE) for an optimized crystal structure of AlAu2Cl.

Cell: 6.2240 6.2240 8.3435 Å, 49.59 49.59 27.72°
Last column: nearest neighbours and their distance in Å.
Fractional positions:
Au 0.9730 0.9730 0.9669  2 Al 2.58, 2 Au 2.86
Au 0.6764 0.6764 0.9628  2 Al 2.58, 2 Au 2.86
Cl 0.6068 0.6068 0.4310  2 Al 2.35
Al 0.2439 0.2439 0.1392  2 Cl 2.35, 4 Au 2.58

Calculated values
Spin magnetization: 0.0 μB/f.u.
N(E_F): 0.225 states/eV/atom
Energy above the lowest structure with this stoichiometry: 0.000 eV/f.u.
VASP energy: -13.75 eV/cell
Formation energy (no corrections): -38.8 kJ/mol of atoms


Record 3
Density functional theory data (GGA-PBE) for an optimized crystal structure of AlAu2Cl.

Cell: 5.0284 5.0284 2.9669 Å, 90.00 90.00 90.00°
Last column: nearest neighbours and their distance in Å.
Fractional positions:
Al 0.0000 0.5000 0.5000  8 Au 2.92, 2 Al 2.97
Au 0.5000 0.5000 0.0000  4 Al 2.92, 4 Cl 2.92, 2 Au 2.97
Cl 0.5000 0.0000 0.5000  8 Au 2.92, 2 Cl 2.97
Au 0.0000 0.0000 0.0000  4 Cl 2.92, 4 Al 2.92, 2 Au 2.97

Calculated values
Spin magnetization: 0.0 μB/f.u.
N(E_F): 0.493 states/eV/atom
Energy above the lowest structure with this stoichiometry: 2.421 eV/f.u.
VASP energy: -11.33 eV/cell
Formation energy (no corrections): 19.5 kJ/mol of atoms


Record 4
Density functional theory data (GGA-PBE) for an optimized crystal structure of AlAuCl2.

Cell: 4.8180 4.8180 4.8180 Å, 60.00 60.00 60.00°
Last column: nearest neighbours and their distance in Å.
Fractional positions:
Cl 0.0000 0.0000 0.0000  4 Cl 2.95, 4 Au 2.95
Al 0.5000 0.5000 0.5000  4 Cl 2.95, 4 Au 2.95
Au 0.7500 0.7500 0.7500  4 Cl 2.95, 4 Al 2.95
Cl 0.2500 0.2500 0.2500  4 Cl 2.95, 4 Al 2.95

Calculated values
Spin magnetization: 0.0 μB/f.u.
N(E_F): 0.416 states/eV/atom
Energy above the lowest structure with this stoichiometry: 3.771 eV/f.u.
VASP energy: -10.36 eV/cell
Formation energy (no corrections): 8.5 kJ/mol of atoms


Record 5
Density functional theory data (GGA-PBE) for an optimized crystal structure of AlAuCl2.

Cell: 3.4605 3.4605 8.2918 Å, 90.00 90.00 120.17°
Last column: nearest neighbours and their distance in Å.
Fractional positions:
Au 0.5000 0.5000 0.7500  4 Cl 2.75
Al 0.5000 0.5000 0.2500  4 Cl 2.65
Cl 0.0000 0.0000 0.0076  2 Al 2.65, 2 Au 2.75
Cl 0.0000 0.0000 0.4924  2 Al 2.65, 2 Au 2.75

Calculated values
Spin magnetization: 0.0 μB/f.u.
N(E_F): 0.263 states/eV/atom
Energy above the lowest structure with this stoichiometry: 3.355 eV/f.u.
VASP energy: -10.78 eV/cell
Formation energy (no corrections): -1.5 kJ/mol of atoms


Record 6
Density functional theory data (GGA-PBE) for an optimized crystal structure of AlAu2Cl.

Cell: 3.0603 3.0603 8.6573 Å, 90.00 90.00 90.00°
Last column: nearest neighbours and their distance in Å.
Fractional positions:
Au 0.5000 0.5000 0.1922  8 Au 2.97-3.06
Cl 0.0000 0.0000 0.5800  4 Al 2.72
Al 0.5000 0.5000 0.7701  4 Au 2.71, 4 Cl 2.72
Au 0.0000 0.0000 0.9577  4 Al 2.71, 4 Au 2.97

Calculated values
Spin magnetization: 0.0 μB/f.u.
N(E_F): 0.362 states/eV/atom
Energy above the lowest structure with this stoichiometry: 1.066 eV/f.u.
VASP energy: -12.69 eV/cell
Formation energy (no corrections): -13.1 kJ/mol of atoms


Record 7
Density functional theory data (GGA-PBE) for an optimized crystal structure of AlAu2Cl.

Cell: 4.8006 4.8006 4.8006 Å, 60.00 60.00 60.00°
Last column: nearest neighbours and their distance in Å.
Fractional positions:
Au 0.0000 0.0000 0.0000  4 Au 2.94, 4 Cl 2.94
Cl 0.2500 0.2500 0.2500  4 Al 2.94, 4 Au 2.94
Al 0.5000 0.5000 0.5000  4 Au 2.94, 4 Cl 2.94
Au 0.7500 0.7500 0.7500  4 Au 2.94, 4 Al 2.94

Calculated values
Spin magnetization: 0.0 μB/f.u.
N(E_F): 0.454 states/eV/atom
Energy above the lowest structure with this stoichiometry: 2.382 eV/f.u.
VASP energy: -11.37 eV/cell
Formation energy (no corrections): 18.6 kJ/mol of atoms


Record 8
Density functional theory data (GGA-PBE) for an optimized crystal structure of AlAuCl2.

Cell: 3.2503 6.3327 5.6875 Å, 69.90 90.00 90.00°
Last column: nearest neighbours and their distance in Å.
Fractional positions:
Al 0.0000 0.5960 0.4133  3 Cl 2.19-2.36
Cl 0.0000 0.8566 0.0412  1 Al 2.19
Cl 0.5000 0.3460 0.3592  2 Al 2.36
Au 0.5000 0.7014 0.6863  2 Al 2.49

Calculated values
Spin magnetization: 0.0 μB/f.u.
Energy above the lowest structure with this stoichiometry: 0.000 eV/f.u.
VASP energy: -14.13 eV/cell
Formation energy (no corrections): -82.5 kJ/mol of atoms